No. 1
The following is a GGA-PBE calculation of an optimized crystal structure of YSi2Ni, from Alexandria.

Output
D(E_F): 0.641 states/eV/atom
Spin magnetization: 0.00 μB per cell
E_form (uncorrected): -0.42 eV per atom
Space-group type: Imm2 (44)

a = 5.753 Å, b = 5.753 Å, c = 5.753 Å
α = 141.85°, β = 142.61°, γ = 54.49°
Sites, in units of the cell vectors:
Si 0.085 0.085 0.000
Si 0.737 0.237 0.500
Y 0.465 0.465 0.000
Ni 0.213 0.713 0.500

***

No. 2
The following is a GGA-PBE calculation of an optimized crystal structure of Y2Si2Ni, from Alexandria.

Output
D(E_F): 0.592 states/eV/atom
Spin magnetization: 0.73 μB per cell
E_form (uncorrected): -0.18 eV per atom
Space-group type: I4/mmm (139)

a = 5.242 Å, b = 5.242 Å, c = 5.242 Å
α = 113.97°, β = 113.97°, γ = 100.80°
Sites, in units of the cell vectors:
Y 0.750 0.250 0.500
Y 0.250 0.750 0.500
Si 0.671 0.671 0.000
Si 0.329 0.329 0.000
Ni 0.000 0.000 0.000

***

No. 3
The following is a GGA-PBE calculation of an optimized crystal structure of YSi2Ni4, from Alexandria.

Output
D(E_F): 0.651 states/eV/atom
Spin magnetization: 0.00 μB per cell
Relative energy among the computed polymorphs: 0.0 meV/atom
E_form (uncorrected): -0.57 eV per atom
Space-group type: Pnma (62)

a = 3.947 Å, b = 6.082 Å, c = 16.016 Å
α = 90.00°, β = 90.00°, γ = 90.00°
Sites, in units of the cell vectors:
Ni 0.250 0.221 0.199
Ni 0.750 0.993 0.072
Ni 0.750 0.178 0.812
Ni 0.750 0.648 0.975
Ni 0.250 0.352 0.025
Ni 0.750 0.507 0.572
Ni 0.750 0.852 0.475
Ni 0.250 0.678 0.688
Ni 0.750 0.779 0.801
Ni 0.250 0.822 0.188
Ni 0.750 0.721 0.301
Ni 0.250 0.148 0.525
Ni 0.250 0.007 0.928
Ni 0.750 0.322 0.312
Ni 0.250 0.493 0.428
Ni 0.250 0.279 0.699
Si 0.250 0.737 0.541
Si 0.250 0.763 0.041
Si 0.750 0.263 0.459
Si 0.750 0.474 0.717
Si 0.250 0.526 0.283
Si 0.750 0.026 0.217
Si 0.750 0.237 0.959
Si 0.250 0.974 0.783
Y 0.250 0.006 0.361
Y 0.750 0.994 0.639
Y 0.250 0.494 0.861
Y 0.750 0.506 0.139

***

No. 4
The following is a GGA-PBE calculation of an optimized crystal structure of Y2Si2Ni3, from Alexandria.

Output
D(E_F): 0.691 states/eV/atom
Spin magnetization: 0.00 μB per cell
E_form (uncorrected): -0.71 eV per atom
Space-group type: C2/m (12)

a = 3.722 Å, b = 5.467 Å, c = 6.721 Å
α = 115.52°, β = 90.00°, γ = 109.90°
Sites, in units of the cell vectors:
Si 0.144 0.287 0.219
Si 0.856 0.713 0.781
Ni 0.500 0.000 0.000
Ni 0.358 0.716 0.574
Ni 0.642 0.284 0.426
Y 0.133 0.266 0.761
Y 0.867 0.734 0.239

***

No. 5
The following is a GGA-PBE calculation of an optimized crystal structure of YSiNi2, from Alexandria.

Output
D(E_F): 0.764 states/eV/atom
Spin magnetization: 0.00 μB per cell
E_form (uncorrected): -0.27 eV per atom
Space-group type: P4/mmm (123)

a = 4.182 Å, b = 4.180 Å, c = 3.527 Å
α = 90.00°, β = 90.00°, γ = 90.00°
Sites, in units of the cell vectors:
Ni 0.000 0.000 0.000
Ni 0.500 0.500 0.000
Si 0.500 0.000 0.500
Y 0.000 0.500 0.500

***

No. 6
The following is a GGA-PBE calculation of an optimized crystal structure of YSi3Ni, from Alexandria.

Output
D(E_F): 0.847 states/eV/atom
Spin magnetization: 0.00 μB per cell
E_form (uncorrected): -0.10 eV per atom
Space-group type: Cmmm (65)

a = 14.204 Å, b = 14.204 Å, c = 3.507 Å
α = 90.00°, β = 90.00°, γ = 165.22°
Sites, in units of the cell vectors:
Si 0.542 0.458 0.000
Si 0.278 0.722 0.500
Si 0.722 0.278 0.500
Si 0.043 0.957 0.500
Si 0.957 0.043 0.500
Si 0.458 0.542 0.000
Y 0.378 0.622 0.500
Y 0.622 0.378 0.500
Ni 0.783 0.217 0.000
Ni 0.217 0.783 0.000

***

No. 7
The following is a GGA-PBE calculation of an optimized crystal structure of YSi2Ni, from Alexandria.

Output
D(E_F): 0.655 states/eV/atom
Spin magnetization: 0.00 μB per cell
E_form (uncorrected): -0.20 eV per atom
Space-group type: Immm (71)

a = 5.426 Å, b = 5.426 Å, c = 5.426 Å
α = 149.84°, β = 120.62°, γ = 68.04°
Sites, in units of the cell vectors:
Y 0.750 0.250 0.500
Ni 0.250 0.750 0.500
Si 0.043 0.043 0.000
Si 0.457 0.457 0.000

***

No. 8
The following is a GGA-PBE calculation of an optimized crystal structure of Y3Si3Ni, from Alexandria.

Output
D(E_F): 0.739 states/eV/atom
Spin magnetization: 0.00 μB per cell
Relative energy among the computed polymorphs: 35.8 meV/atom
E_form (uncorrected): -0.80 eV per atom
Space-group type: Imm2 (44)

a = 9.208 Å, b = 9.208 Å, c = 9.208 Å
α = 155.35°, β = 153.86°, γ = 36.23°
Sites, in units of the cell vectors:
Y 0.999 0.999 0.000
Y 0.818 0.318 0.500
Y 0.184 0.684 0.500
Si 0.362 0.862 0.500
Si 0.560 0.560 0.000
Si 0.645 0.145 0.500
Ni 0.433 0.433 0.000

***

No. 9
The following is a GGA-PBE calculation of an optimized crystal structure of YSiNi2, from Alexandria.

Output
D(E_F): 0.610 states/eV/atom
Spin magnetization: 0.00 μB per cell
E_form (uncorrected): -0.23 eV per atom
Space-group type: I-4m2 (119)

a = 4.869 Å, b = 4.869 Å, c = 4.869 Å
α = 132.08°, β = 132.08°, γ = 70.10°
Sites, in units of the cell vectors:
Y 0.750 0.250 0.500
Si 0.500 0.500 0.000
Ni 0.000 0.000 0.000
Ni 0.250 0.750 0.500

***

No. 10
The following is a GGA-PBE calculation of an optimized crystal structure of YSi2Ni, from Alexandria.

Output
D(E_F): 0.745 states/eV/atom
Spin magnetization: 0.00 μB per cell
E_form (uncorrected): -0.08 eV per atom
Space-group type: F-43m (216)

a = 4.550 Å, b = 4.550 Å, c = 4.550 Å
α = 60.00°, β = 60.00°, γ = 60.00°
Sites, in units of the cell vectors:
Si 0.000 0.000 0.000
Si 0.250 0.250 0.250
Y 0.750 0.750 0.750
Ni 0.500 0.500 0.500

***

No. 11
The following is a GGA-PBE calculation of an optimized crystal structure of YSi3Ni3, from Alexandria.

Output
D(E_F): 0.640 states/eV/atom
Spin magnetization: 0.00 μB per cell
E_form (uncorrected): -0.29 eV per atom
Space-group type: Pm-3n (223)

a = 6.202 Å, b = 6.202 Å, c = 6.202 Å
α = 90.00°, β = 90.00°, γ = 90.00°
Sites, in units of the cell vectors:
Ni 0.250 0.000 0.500
Ni 0.000 0.500 0.750
Ni 0.750 0.000 0.500
Ni 0.500 0.250 0.000
Ni 0.000 0.500 0.250
Ni 0.500 0.750 0.000
Y 0.500 0.500 0.500
Y 0.000 0.000 0.000
Si 0.000 0.750 0.500
Si 0.750 0.500 0.000
Si 0.500 0.000 0.750
Si 0.000 0.250 0.500
Si 0.500 0.000 0.250
Si 0.250 0.500 0.000

***

No. 12
The following is a GGA-PBE calculation of an optimized crystal structure of Y6Si7Ni16, from Alexandria.

Output
D(E_F): 0.696 states/eV/atom
Spin magnetization: 0.00 μB per cell
E_form (uncorrected): -0.67 eV per atom
Space-group type: Fm-3m (225)

a = 8.333 Å, b = 8.333 Å, c = 8.333 Å
α = 60.00°, β = 60.00°, γ = 60.00°
Sites, in units of the cell vectors:
Si 0.500 0.000 0.000
Si 0.500 0.000 0.500
Si 0.000 0.000 0.000
Si 0.500 0.500 0.000
Si 0.000 0.500 0.000
Si 0.000 0.500 0.500
Si 0.000 0.000 0.500
Ni 0.879 0.879 0.879
Ni 0.984 0.672 0.672
Ni 0.879 0.362 0.879
Ni 0.328 0.016 0.328
Ni 0.328 0.328 0.328
Ni 0.121 0.121 0.638
Ni 0.638 0.121 0.121
Ni 0.121 0.121 0.121
Ni 0.328 0.328 0.016
Ni 0.879 0.879 0.362
Ni 0.362 0.879 0.879
Ni 0.016 0.328 0.328
Ni 0.672 0.984 0.672
Ni 0.672 0.672 0.984
Ni 0.672 0.672 0.672
Ni 0.121 0.638 0.121
Y 0.710 0.290 0.710
Y 0.710 0.290 0.290
Y 0.290 0.710 0.290
Y 0.710 0.710 0.290
Y 0.290 0.290 0.710
Y 0.290 0.710 0.710